(1)
Crystalline HgBiP2Cl at its relaxed geometry. Source: Alexandria via LeMat-Bulk, functional GGA-PBEsol.

For the energy relative to the elements, uncorrected, the calculation gives 18.6 kcal/mol of atoms. The calculation puts the size of the total moment at 0.351 μB/atom.

Structure (POSCAR):
```
HgBiP2Cl
1.0
-3.8178 3.6464 -0.4459
-3.0813 -3.5288 -2.4745
-2.0082 -1.5300 4.6825
P Cl Bi Hg
2 1 1 1
Direct
0.0000 0.5000 0.0000
0.5000 0.0000 0.0000
0.0000 0.0000 0.5000
0.0000 0.0000 0.0000
0.5000 0.5000 0.5000
```

(2)
Crystalline HoBi2ClO4 at its relaxed geometry. Source: Alexandria via LeMat-Bulk, functional GGA-PBEsol.

For the energy relative to the elements, uncorrected, the calculation gives -48.2 kcal/mol of atoms. The calculation puts the size of the total moment at 0.000 μB/atom.

Structure (POSCAR):
```
HoBi2ClO4
1.0
-2.2501 -1.1316 2.8937
-1.9858 -2.2242 -2.4139
5.4896 -6.6932 1.6513
Cl Bi O Ho
1 2 4 1
Direct
0.0000 0.0000 0.5000
0.5000 0.5000 0.2821
0.5000 0.5000 0.7179
0.0000 0.5000 0.1537
0.5000 0.0000 0.8463
0.5000 0.0000 0.1537
0.0000 0.5000 0.8463
0.0000 0.0000 0.0000
```

(3)
Crystalline BiIClO2 at its relaxed geometry. Source: Alexandria via LeMat-Bulk, functional GGA-PBEsol.

For the energy relative to the elements, uncorrected, the calculation gives 17.5 kcal/mol of atoms. The calculation puts the size of the total moment at 0.000 μB/atom.

Structure (POSCAR):
```
BiIClO2
1.0
-0.2107 3.4286 2.6475
-3.9246 0.9709 -1.5697
-2.1453 -2.8922 3.5748
I Bi O Cl
1 1 2 1
Direct
0.0000 0.0000 0.5000
0.5000 0.5000 0.5000
0.0000 0.5000 0.0000
0.5000 0.0000 0.0000
0.0000 0.0000 0.0000
```

- Look up the size of the total moment of the first one.
  0.351 μB/atom

- Which formula does entry 2 have?
  HoBi2ClO4

- The lowest energy relative to the elements, uncorrected belongs to which entry?
  HoBi2ClO4

- What is the energy relative to the elements, uncorrected in the second record?
  -48.2 kcal/mol of atoms